No. 1
First-principles (PBE-GGA) data for a relaxed structure of Tb4CeSe6, as listed in Alexandria.

Summary:
- Electronic total energy: -5.960 eV per atom
- Density of states at the Fermi level: 39.28 states/eV per cell
- Formation energy from raw total energies: -1836 meV per atom

a b c (Å): 4.0644 13.4817 20.8056
angles (deg): 90.00 90.00 90.00
Closest atoms and distances in Å follow each position.
Space group Cmcm (No. 63)
Unique sites:
Tb1 0.0000 0.0906 0.1261  6 Se 2.87-2.89
Tb2 0.0000 0.3593 0.0388  6 Se 2.87-2.97
Ce1 0.0000 0.1564 0.7500  6 Se 2.97-3.06
Se1 0.0000 0.0000 0.0000  6 Tb 2.89-2.90
Se2 0.0000 0.1834 0.2500  2 Tb 2.87, 2 Ce 2.97
Se3 0.0000 0.2678 0.5909  5 Tb 2.87-2.97
Se4 0.0000 0.4515 0.1654  3 Tb 2.88-2.91, 2 Ce 3.06

No. 2
First-principles (PBE-GGA) data for a relaxed structure of TbCe2Se3, as listed in Alexandria.

Summary:
- Electronic total energy: -6.300 eV per atom
- Density of states at the Fermi level: 25.06 states/eV per cell
- Formation energy from raw total energies: -1808 meV per atom

a b c (Å): 4.1469 5.8923 12.5473
angles (deg): 90.00 90.00 90.00
Closest atoms and distances in Å follow each position.
Space group Immm (No. 71)
Unique sites:
Tb1 0.0000 0.0000 0.0000  6 Se 2.90-2.95
Ce1 0.0000 0.0000 0.3319  6 Se 2.95-2.98
Se1 0.0000 0.5000 0.0000  2 Tb 2.95, 4 Ce 2.96
Se2 0.0000 0.5000 0.3385  2 Tb 2.90, 4 Ce 2.95-2.98